Computed, not measured: Ac2ZrTl3Se6 after structural relaxation at the PBE level of DFT.

For the mass density, the calculation gives 7.09 Mg/m³. As for the total magnetization: 1.952 Bohr magnetons per cell. Its raw formation energy is -1.230 eV per atom.

The structure belongs to space group C2/m (No. 12); the cell edges are 7.540, 13.049 and 8.171 Å and the angles 90.00°, 107.99° and 90.00°. Symmetry generates all atoms from Ac at (0.000, 0.165, 0.000), Zr at (0.000, 0.500, 0.000), Tl at (0.000, 0.000, 0.500), Tl at (0.000, 0.329, 0.500), Se at (0.220, 0.349, 0.209) and Se at (0.228, 0.500, 0.782).

***

Computed, not measured: AcTm4Se6 after structural relaxation at the PBE level of DFT.

For the mass density, the calculation gives 8.17 Mg/m³. As for the total magnetization: 0.000 Bohr magnetons per cell. Its raw formation energy is -1.819 eV per atom.

The structure belongs to space group Cmcm (No. 63); the cell edges are 4.085, 13.239 and 20.692 Å and the angles 90.00°, 90.00° and 90.00°. Symmetry generates all atoms from Ac at (0.000, 0.156, 0.250), Tm at (0.000, 0.095, 0.622), Tm at (0.000, 0.359, 0.537), Se at (0.000, 0.000, 0.000), Se at (0.000, 0.170, 0.750), Se at (0.000, 0.264, 0.090) and Se at (0.000, 0.458, 0.660).

***

Computed, not measured: AcTm2Se after structural relaxation at the PBE level of DFT.

For the mass density, the calculation gives 8.23 Mg/m³. As for the total magnetization: 0.000 Bohr magnetons per cell. Its raw formation energy is -0.576 eV per atom.

The structure belongs to space group R-3m (No. 166, hexagonal axes); the cell edges are 3.7496, 3.7496 and 32.0085 Å and the angles 90.00°, 90.00° and 120.00°. Symmetry generates all atoms from Ac at (0.0000, 0.0000, 0.0000), Tm at (0.0000, 0.0000, 0.1118) and Se at (0.0000, 0.0000, 0.5000).

***

Computed, not measured: Ac5TmSe6 after structural relaxation at the PBE level of DFT.

For the mass density, the calculation gives 8.20 Mg/m³. As for the total magnetization: 0.000 Bohr magnetons per cell. Its raw formation energy is -1.812 eV per atom.

The structure belongs to space group C2/m (No. 12); the cell edges are 7.608, 13.202 and 7.618 Å and the angles 90.00°, 109.72° and 90.00°. Symmetry generates all atoms from Ac at (0.000, 0.000, 0.000), Ac at (0.000, 0.165, 0.500), Ac at (0.000, 0.325, 0.000), Tm at (0.000, 0.500, 0.500), Se at (0.230, 0.500, 0.257) and Se at (0.233, 0.344, 0.733).

***

Computed, not measured: AcTm2Se4 after structural relaxation at the PBE level of DFT.

For the mass density, the calculation gives 7.64 Mg/m³. As for the total magnetization: 0.000 Bohr magnetons per cell. Its raw formation energy is -1.893 eV per atom.

The structure belongs to space group Cmcm (No. 63); the cell edges are 4.136, 13.342 and 13.876 Å and the angles 90.00°, 90.00° and 90.00°. Symmetry generates all atoms from Ac at (0.000, 0.120, 0.250), Tm at (0.000, 0.370, 0.063), Se at (0.000, 0.000, 0.000), Se at (0.000, 0.269, 0.616) and Se at (0.000, 0.446, 0.250).

***

Computed, not measured: Ac3TmSe6 after structural relaxation at the PBE level of DFT.

For the mass density, the calculation gives 6.26 Mg/m³. As for the total magnetization: 0.000 Bohr magnetons per cell. Its raw formation energy is -1.974 eV per atom. Its energy above the most stable polymorph in this dataset is 0 kJ/mol of formula units.

The structure belongs to space group R-3 (No. 148, hexagonal axes); the cell edges are 12.7976, 12.7976 and 14.8453 Å and the angles 90.00°, 90.00° and 120.00°. Symmetry generates all atoms from Ac at (0.0489, 0.7781, 0.1988), Tm at (0.0000, 0.0000, 0.0000), Tm at (0.0000, 0.0000, 0.5000), Se at (0.0248, 0.8225, 0.4001) and Se at (0.0317, 0.8415, 0.8865).

***

Computed, not measured: AcTm4Se5 after structural relaxation at the PBE level of DFT.

For the mass density, the calculation gives 8.73 Mg/m³. As for the total magnetization: 0.000 Bohr magnetons per cell. Its raw formation energy is -1.648 eV per atom.

The structure belongs to space group Immm (No. 71); the cell edges are 4.052, 5.868 and 20.767 Å and the angles 90.00°, 90.00° and 90.00°. Symmetry generates all atoms from Ac at (0.000, 0.000, 0.000), Tm at (0.000, 0.000, 0.207), Tm at (0.000, 0.000, 0.401), Se at (0.000, 0.500, 0.000), Se at (0.000, 0.500, 0.197) and Se at (0.000, 0.500, 0.387).

***

Computed, not measured: Ac2TmSe5 after structural relaxation at the PBE level of DFT.

For the mass density, the calculation gives 7.03 Mg/m³. As for the total magnetization: 0.000 Bohr magnetons per cell. Its raw formation energy is -1.573 eV per atom.

The structure belongs to space group Fmm2 (No. 42); the cell edges are 8.983, 11.795 and 9.069 Å and the angles 90.00°, 90.00° and 90.00°. Symmetry generates all atoms from Ac at (0.250, 0.250, 0.000), Tm at (0.000, 0.000, 0.208), Se at (0.000, 0.000, 0.917), Se at (0.000, 0.230, 0.256) and Se at (0.203, 0.000, 0.605).

***

Computed, not measured: AcTmSe2 after structural relaxation at the PBE level of DFT.

For the mass density, the calculation gives 8.37 Mg/m³. As for the total magnetization: 0.000 Bohr magnetons per cell. Its raw formation energy is -1.733 eV per atom. Its energy above the most stable polymorph in this dataset is 12 kJ/mol of formula units.

The structure belongs to space group R3m (No. 160, hexagonal axes); the cell edges are 4.1011, 4.1011 and 22.6411 Å and the angles 90.00°, 90.00° and 120.00°. Symmetry generates all atoms from Ac at (0.0000, 0.0000, 0.0000), Tm at (0.0000, 0.0000, 0.8254), Se at (0.0000, 0.0000, 0.2342) and Se at (0.0000, 0.0000, 0.4252).

***

Computed, not measured: AcTmSe2 after structural relaxation at the PBE level of DFT.

For the mass density, the calculation gives 8.51 Mg/m³. As for the total magnetization: 0.000 Bohr magnetons per cell. Its raw formation energy is -1.765 eV per atom. Its energy above the most stable polymorph in this dataset is 0 kJ/mol of formula units.

The structure belongs to space group R-3m (No. 166, hexagonal axes); the cell edges are 4.1022, 4.1022 and 22.2460 Å and the angles 90.00°, 90.00° and 120.00°. Symmetry generates all atoms from Ac at (0.0000, 0.0000, 0.0000), Tm at (0.0000, 0.0000, 0.5000) and Se at (0.0000, 0.0000, 0.2376).

***

Question: The highest total magnetization belongs to which entry?
Answer: Ac2ZrTl3Se6

***

Question: What is the total magnetization in the fourth record?
Answer: 0.000 Bohr magnetons per cell